1.
TaMnCr2 | SCAN | PBEsol geometry

The space group is C2/m (No. 12) and the conventional cell measures 4.9973, 8.2402 and 2.6187 Å, with angles of 90.00, 110.19 and 90.00 degrees. The inequivalent atoms are Ta at (0.0000, 0.0000, 0.0000), Mn at (0.0000, 0.5000, 0.0000) and Cr at (0.2500, 0.2500, 0.5000).

For the distance to the lowest polymorph of the same formula, the calculation gives 86 meV per atom.


2.
TaMnCr2 | SCAN | PBEsol geometry

The space group is Pm (No. 6) and the conventional cell measures 2.6311, 4.0041 and 4.8812 Å, with angles of 90.00, 100.39 and 90.00 degrees. The inequivalent atoms are Ta at (0.0000, 0.0000, 0.0000), Mn at (0.2434, 0.5000, 0.7350), Cr at (0.5060, 0.0000, 0.4995) and Cr at (0.7494, 0.5000, 0.2823).

For the distance to the lowest polymorph of the same formula, the calculation gives 82 meV per atom.


3.
TaMn3Cr | SCAN | PBEsol geometry

The space group is Pm-3m (No. 221) and the conventional cell measures 4.0697, 4.0697 and 4.0697 Å, with angles of 90.00, 90.00 and 90.00 degrees. The inequivalent atoms are Ta at (0.0000, 0.0000, 0.0000), Mn at (0.0000, 0.5000, 0.5000) and Cr at (0.5000, 0.5000, 0.5000).

The final energy comes out at -134.699 eV for the cell shown.


4.
MnCrTc2 | SCAN | PBEsol geometry

The space group is Cmmm (No. 65) and the conventional cell measures 3.0027, 4.1689 and 8.1445 Å, with angles of 90.00, 90.00 and 90.00 degrees. The inequivalent atoms are Mn at (0.0000, 0.0000, 0.0000), Cr at (0.0000, 0.0000, 0.5000) and Tc at (0.0000, 0.5000, 0.2493).

The final energy comes out at -213.267 eV for the cell shown.


5.
Mn4CrTc | SCAN | PBEsol geometry

The space group is F-43m (No. 216) and the conventional cell measures 6.4523, 6.4523 and 6.4523 Å, with angles of 90.00, 90.00 and 90.00 degrees. The inequivalent atoms are Mn at (0.1239, 0.1239, 0.3761), Cr at (0.2500, 0.2500, 0.7500) and Tc at (0.0000, 0.0000, 0.0000).

The final energy comes out at -503.263 eV for the cell shown.


6.
Mn3CrTe4 | SCAN | PBEsol geometry

The space group is P-3m1 (No. 164) and the conventional cell measures 4.1084, 4.1084 and 11.5439 Å, with angles of 90.00, 90.00 and 120.00 degrees. The inequivalent atoms are Mn at (0.0000, 0.0000, 0.0000), Mn at (0.0000, 0.0000, 0.2471), Cr at (0.0000, 0.0000, 0.5000), Te at (0.3333, 0.6667, 0.3768) and Te at (0.3333, 0.6667, 0.8751).

As for the uncorrected formation energy: -0.426 eV per atom.


7.
Mn2CrTe | SCAN | PBEsol geometry

The space group is R3m (No. 160, hexagonal axes) and the conventional cell measures 3.7642, 3.7642 and 15.5426 Å, with angles of 90.00, 90.00 and 120.00 degrees. The inequivalent atoms are Mn at (0.0000, 0.0000, 0.0000), Mn at (0.0000, 0.0000, 0.2874), Cr at (0.0000, 0.0000, 0.7325) and Te at (0.0000, 0.0000, 0.5167).

As for the uncorrected formation energy: 0.233 eV per atom.


8.
Mn4CrTe | SCAN | PBEsol geometry

The space group is F-43m (No. 216) and the conventional cell measures 6.6908, 6.6908 and 6.6908 Å, with angles of 90.00, 90.00 and 90.00 degrees. The inequivalent atoms are Mn at (0.1252, 0.1252, 0.1252), Cr at (0.2500, 0.2500, 0.7500) and Te at (0.0000, 0.0000, 0.5000).

As for the uncorrected formation energy: 0.278 eV per atom.


9.
MnTlCr | SCAN | PBEsol geometry

The space group is F-43m (No. 216) and the conventional cell measures 6.1224, 6.1224 and 6.1224 Å, with angles of 90.00, 90.00 and 90.00 degrees. The inequivalent atoms are Mn at (0.0000, 0.0000, 0.0000), Tl at (0.0000, 0.0000, 0.5000) and Cr at (0.2500, 0.2500, 0.2500).

For the distance to the lowest polymorph of the same formula, the calculation gives 0 meV per atom.


10.
MnTlCr2 | SCAN | PBEsol geometry

The space group is I-4m2 (No. 119) and the conventional cell measures 4.0378, 4.0378 and 7.1910 Å, with angles of 90.00, 90.00 and 90.00 degrees. The inequivalent atoms are Mn at (0.0000, 0.0000, 0.0000), Tl at (0.0000, 0.5000, 0.2500), Cr at (0.0000, 0.0000, 0.5000) and Cr at (0.0000, 0.5000, 0.7500).

The final energy comes out at -253.190 eV for the cell shown.


11.
MnTlCr | SCAN | PBEsol geometry

The space group is P3m1 (No. 156) and the conventional cell measures 2.9947, 2.9947 and 6.2157 Å, with angles of 90.00, 90.00 and 120.00 degrees. The inequivalent atoms are Mn at (0.0000, 0.0000, 0.0000), Tl at (0.6667, 0.3333, 0.6188) and Cr at (0.3333, 0.6667, 0.2297).

For the distance to the lowest polymorph of the same formula, the calculation gives 66 meV per atom.


12.
MnCrW | SCAN | PBEsol geometry

The space group is I4mm (No. 107) and the conventional cell measures 2.7509, 2.7509 and 9.9074 Å, with angles of 90.00, 90.00 and 90.00 degrees. The inequivalent atoms are Mn at (0.0000, 0.0000, 0.0000), Cr at (0.0000, 0.0000, 0.3764) and W at (0.0000, 0.0000, 0.6852).

For the distance to the lowest polymorph of the same formula, the calculation gives 60 meV per atom.